1.
A geometry-optimized EuThNiPt structure. Source: the Alexandria database, functional PBE.

Geometry as POSCAR:
```
EuThNiPt
1.0
0.000 3.557 3.557
3.557 0.000 3.557
3.557 3.557 0.000
Eu Th Ni Pt
1 1 1 1
direct
0.000 0.000 0.000 Eu
0.500 0.500 0.500 Th
0.250 0.250 0.250 Ni
0.750 0.750 0.750 Pt
```

V in Å³/f.u.: 90
Total moment in μB/cell: 6.987
Calculated formation energy in eV per formula unit: -2.3

---

2.
A geometry-optimized Sr2Se structure. Source: the Alexandria database, functional PBE.

Geometry as POSCAR:
```
Sr2Se
1.0
1.990 -11.580 0.000
1.990 11.580 0.000
0.000 0.000 4.844
Sr Se
4 2
direct
0.064 0.936 0.750 Sr
0.192 0.808 0.250 Sr
0.808 0.192 0.750 Sr
0.936 0.064 0.250 Sr
0.430 0.570 0.750 Se
0.570 0.430 0.250 Se
```

V in Å³/f.u.: 112
Total moment in μB/cell: 0.000
Electronic total energy in hartree per atom: -0.1248

---

3.
A geometry-optimized KMnCl structure. Source: the Alexandria database, functional PBE.

Geometry as POSCAR:
```
KMnCl
1.0
5.052 0.000 0.000
-2.526 4.375 0.000
0.000 0.000 4.038
K Mn Cl
1 1 1
direct
0.000 0.000 0.000 K
0.667 0.333 0.500 Mn
0.333 0.667 0.500 Cl
```

V in Å³/f.u.: 89
Total moment in μB/cell: 4.992
Electronic total energy in hartree per atom: -0.1494

---

4.
A geometry-optimized YHoErCd structure. Source: the Alexandria database, functional PBE.

Geometry as POSCAR:
```
YHoErCd
1.0
3.570 0.000 0.000
0.000 3.570 0.000
0.000 0.000 9.038
Y Ho Er Cd
1 1 1 1
direct
0.000 0.000 0.000 Y
0.000 0.000 0.542 Ho
0.500 0.500 0.274 Er
0.500 0.500 0.769 Cd
```

V in Å³/f.u.: 115
Total moment in μB/cell: 0.000
Calculated formation energy in eV per formula unit: -0.6